{"formula": "Tl2ZnHg2", "functional": "PBE", "state": "relaxed", "sg": "I4/mmm (139)", "formation_energy_ev_per_atom": 0.23, "cell": [[4.602, 0.000, 0.000], [0.000, 4.602, 0.000], [2.301, 2.301, 7.394]], "species": ["Hg", "Hg", "Tl", "Tl", "Zn"], "fractional_positions": [[0.595, 0.595, 0.809], [0.405, 0.405, 0.191], [0.750, 0.250, 0.500], [0.250, 0.750, 0.500], [0.000, 0.000, 0.000]]}

---

{"formula": "TlZnHg2", "functional": "PBE", "state": "relaxed", "sg": "R-3m (166)", "formation_energy_ev_per_atom": 0.06, "cell": [[9.545, -0.047, -0.028], [8.911, 3.421, -0.028], [8.911, 1.629, 3.008]], "species": ["Hg", "Hg", "Zn", "Tl"], "fractional_positions": [[0.489, 0.489, 0.489], [0.011, 0.011, 0.011], [0.750, 0.750, 0.750], [0.250, 0.250, 0.250]]}

---

{"formula": "TlZn2Hg", "functional": "PBE", "state": "relaxed", "sg": "F-43m (216)", "formation_energy_ev_per_atom": 0.20, "cell": [[5.056, 0.000, 0.000], [2.528, 4.379, 0.000], [2.528, 1.460, 4.128]], "species": ["Hg", "Zn", "Zn", "Tl"], "fractional_positions": [[0.500, 0.500, 0.500], [0.250, 0.250, 0.250], [0.000, 0.000, 0.000], [0.750, 0.750, 0.750]]}

---

{"formula": "TlZn2Hg", "functional": "PBE", "state": "relaxed", "sg": "Cm (8)", "formation_energy_ev_per_atom": 0.12, "cell": [[4.546, -0.254, 0.202], [3.136, 3.301, 0.202], [1.406, 0.557, 6.030]], "species": ["Tl", "Hg", "Zn", "Zn"], "fractional_positions": [[0.260, 0.260, 0.224], [0.482, 0.482, 0.558], [0.019, 0.019, 0.916], [0.738, 0.738, 0.803]]}

---

{"formula": "Tl2Zn2Hg", "functional": "PBE", "state": "relaxed", "sg": "P4/mbm (127)", "formation_energy_ev_per_atom": 0.09, "cell": [[-1.096, 4.582, 5.450], [0.150, -5.498, 4.653], [4.596, 0.530, 0.478]], "species": ["Tl", "Tl", "Tl", "Tl", "Zn", "Zn", "Zn", "Zn", "Hg", "Hg"], "fractional_positions": [[0.176, 0.676, 0.500], [0.824, 0.324, 0.500], [0.676, 0.824, 0.500], [0.324, 0.176, 0.500], [0.372, 0.872, 0.000], [0.628, 0.128, 0.000], [0.128, 0.372, 0.000], [0.872, 0.628, 0.000], [0.000, 0.000, 0.000], [0.500, 0.500, 0.000]]}

---

{"formula": "Tl5ZnHg4", "functional": "PBE", "state": "relaxed", "sg": "C2/m (12)", "formation_energy_ev_per_atom": 0.05, "cell": [[-3.202, 0.973, -0.049], [-2.611, -8.320, 5.456], [4.085, 7.911, 4.432]], "species": ["Tl", "Tl", "Tl", "Tl", "Tl", "Hg", "Hg", "Hg", "Hg", "Zn"], "fractional_positions": [[0.828, 0.158, 0.657], [0.172, 0.842, 0.343], [0.175, 0.510, 0.349], [0.500, 0.500, 0.000], [0.825, 0.490, 0.651], [0.665, 0.162, 0.330], [0.004, 0.221, 0.007], [0.996, 0.779, 0.993], [0.335, 0.838, 0.670], [0.500, 0.000, 0.000]]}

---

| no. | theoretical density (Mg/m³) |
| --- | --- |
| 1 | 9.3 |
| 2 | 11.1 |
| 3 | 9.7 |
| 4 | 9.5 |
| 5 | 10.2 |
| 6 | 10.9 |